1.
DFT (GGA+U) results for FeSnO3 after structural relaxation.

Unit cell a=3.9857 b=3.9857 c=3.9857 alpha=90.00 beta=90.00 gamma=90.00
Space group Pm-3m (No. 221)
Unique sites:
Fe  0.0000  0.0000  0.0000 [1 per cell]
Sn  0.5000  0.5000  0.5000 [1 per cell]
O  0.0000  0.5000  0.5000 [3 per cell]

Computed properties:
Mass density: 5.84 Mg/m³
E_tot: -5.66 eV per atom
M_tot: 4.00 Bohr magnetons per cell
Calculated volume: 63.3 Å³/f.u.

2.
DFT (GGA+U) results for Fe5Sn3O12 after structural relaxation.

Unit cell a=12.3120 b=12.3120 c=12.3120 alpha=90.00 beta=90.00 gamma=90.00
Space group Ia-3d (No. 230)
Unique sites:
Fe  0.0000  0.0000  0.0000 [16 per cell]
Fe  0.0000  0.2500  0.3750 [24 per cell]
Sn  0.0000  0.2500  0.1250 [24 per cell]
O  0.0232  0.0620  0.6530 [96 per cell]

Computed properties:
Mass density: 5.89 Mg/m³
E_tot: -6.14 eV per atom
M_tot: 115.04 Bohr magnetons per cell
Calculated volume: 233.3 Å³/f.u.

3.
DFT (GGA+U) results for Sr3FeSn2O9 after structural relaxation.

Unit cell a=5.7362 b=5.7362 c=7.0554 alpha=90.00 beta=90.00 gamma=120.00
Space group P-3m1 (No. 164)
Unique sites:
Sr  0.0000  0.0000  0.0000 [1 per cell]
Sr  0.3333  0.6667  0.6581 [2 per cell]
Fe  0.0000  0.0000  0.5000 [1 per cell]
Sn  0.3333  0.6667  0.1705 [2 per cell]
O  0.0000  0.5000  0.0000 [3 per cell]
O  0.1640  0.3281  0.3384 [6 per cell]

Computed properties:
Mass density: 5.78 Mg/m³
E_tot: -6.28 eV per atom
M_tot: 4.51 Bohr magnetons per cell
Calculated volume: 201.0 Å³/f.u.

4.
DFT (GGA+U) results for Sr3Fe2SnO9 after structural relaxation.

Unit cell a=5.6392 b=5.6392 c=6.9156 alpha=90.00 beta=90.00 gamma=120.00
Space group P-3m1 (No. 164)
Unique sites:
Sr  0.0000  0.0000  0.0000 [1 per cell]
Sr  0.3333  0.6667  0.6750 [2 per cell]
Fe  0.3333  0.6667  0.1631 [2 per cell]
Sn  0.0000  0.0000  0.5000 [1 per cell]
O  0.0000  0.5000  0.0000 [3 per cell]
O  0.1699  0.3398  0.3263 [6 per cell]

Computed properties:
Mass density: 5.56 Mg/m³
E_tot: -6.31 eV per atom
M_tot: 8.78 Bohr magnetons per cell
Calculated volume: 190.5 Å³/f.u.

Among the records above, which one has the highest mass density? Fe5Sn3O12